No. 1
DFT (PBE) results for an optimized crystal structure of DyHoNp.

Values from the calculation:
Formation energy in eV/atom: 1.17
Total moment in μB/cell: 5.1
SG: No. 216

abc: 5.295 5.295 5.295
angles: 60.00 60.00 60.00
Atoms (fractional coordinates):
Dy 0.250 0.250 0.250
Ho 0.000 0.000 0.000
Np 0.750 0.750 0.750



No. 2
DFT (PBE) results for an optimized crystal structure of NaTbMgTe3.

Values from the calculation:
Total moment in μB/cell: 0.0
ΔE to the lowest computed polymorph in eV per atom: 0.011
SG: No. 63

abc: 7.724 7.724 11.785
angles: 90.00 90.00 146.92
Atoms (fractional coordinates):
Mg 0.471 0.529 0.250
Mg 0.529 0.471 0.750
Na 0.760 0.240 0.250
Na 0.240 0.760 0.750
Tb 0.000 0.000 0.000
Tb 0.000 0.000 0.500
Te 0.361 0.639 0.062
Te 0.088 0.912 0.250
Te 0.361 0.639 0.438
Te 0.639 0.361 0.562
Te 0.912 0.088 0.750
Te 0.639 0.361 0.938



No. 3
DFT (PBE) results for an optimized crystal structure of BeNbTc.

Values from the calculation:
Total moment in μB/cell: 0.0
ΔE to the lowest computed polymorph in eV per atom: 0.000
SG: No. 216

abc: 3.962 3.962 3.962
angles: 60.00 60.00 60.00
Atoms (fractional coordinates):
Be 0.000 0.000 0.000
Nb 0.250 0.250 0.250
Tc 0.750 0.750 0.750



No. 4
DFT (PBE) results for an optimized crystal structure of AgB2.

Values from the calculation:
ΔE to the lowest computed polymorph in eV per atom: 0.000
SG: No. 191

abc: 3.016 3.016 4.079
angles: 90.00 90.00 120.01
Atoms (fractional coordinates):
Ag 0.000 0.000 0.000
B 0.667 0.333 0.500
B 0.333 0.667 0.500



No. 5
DFT (PBE) results for an optimized crystal structure of ErBPO.

Values from the calculation:
Total moment in μB/cell: 0.0
ΔE to the lowest computed polymorph in eV per atom: 0.481
SG: No. 26

abc: 3.732 5.381 5.790
angles: 90.00 90.00 90.00
Atoms (fractional coordinates):
B 0.000 0.189 0.441
B 0.000 0.811 0.941
Er 0.500 0.279 0.095
Er 0.500 0.721 0.595
O 0.500 0.352 0.449
O 0.500 0.648 0.949
P 0.000 0.878 0.269
P 0.000 0.122 0.769



No. 6
DFT (PBE) results for an optimized crystal structure of TbBeTlS3.

Values from the calculation:
Final energy in eV/cell: -61.61
Total moment in μB/cell: 0.0
SG: No. 63

abc: 7.464 7.464 10.505
angles: 90.00 90.00 150.10
Atoms (fractional coordinates):
Be 0.038 0.962 0.250
Be 0.962 0.038 0.750
S 0.119 0.881 0.084
S 0.449 0.551 0.250
S 0.119 0.881 0.416
S 0.881 0.119 0.584
S 0.551 0.449 0.750
S 0.881 0.119 0.916
Tb 0.500 0.500 0.000
Tb 0.500 0.500 0.500
Tl 0.751 0.249 0.250
Tl 0.249 0.751 0.750



No. 7
DFT (PBE) results for an optimized crystal structure of Pm3Cu2Ni7.

Values from the calculation:
Formation energy in eV/atom: -0.33
Total moment in μB/cell: 0.0
SG: No. 166

abc: 8.694 8.694 8.694
angles: 33.90 33.90 33.90
Atoms (fractional coordinates):
Cu 0.333 0.333 0.333
Cu 0.667 0.667 0.667
Ni 0.582 0.582 0.082
Ni 0.918 0.418 0.418
Ni 0.418 0.918 0.418
Ni 0.500 0.500 0.500
Ni 0.582 0.082 0.582
Ni 0.082 0.582 0.582
Ni 0.418 0.418 0.918
Pm 0.000 0.000 0.000
Pm 0.139 0.139 0.139
Pm 0.861 0.861 0.861



Number 3 is which compound? BeNbTc